# 1
# SrSmCd PBE-GGA optimized geometry
# Excess energy over the best structure of this formula in the dataset (eV/atom): 0.145
# Crystal system: trigonal
# ΔH_f (0 K) (meV per atom): 1
data_SrSmCd
_chemical_formula_sum 'Sr1 Sm1 Cd1'
_cell_length_a 4.025
_cell_length_b 5.489
_cell_length_c 5.489
_cell_angle_alpha 120.00
_cell_angle_beta 90.00
_cell_angle_gamma 90.00
_symmetry_space_group_name_H-M 'P 1'
_symmetry_Int_Tables_number 1
loop_
_symmetry_equiv_pos_as_xyz
'x,y,z'
loop_
_atom_site_label
_atom_site_type_symbol
_atom_site_fract_x
_atom_site_fract_y
_atom_site_fract_z
Sr1 Sr 0.640 0.667 0.333
Sm1 Sm 0.105 0.000 0.000
Cd1 Cd 0.255 0.333 0.667

# 2
# SrSmCd PBE-GGA optimized geometry
# Excess energy over the best structure of this formula in the dataset (eV/atom): 0.000
# Crystal system: tetragonal
# ΔH_f (0 K) (meV per atom): -144
data_SrSmCd
_chemical_formula_sum 'Sr1 Sm1 Cd1'
_cell_length_a 3.894
_cell_length_b 3.894
_cell_length_c 7.433
_cell_angle_alpha 105.19
_cell_angle_beta 105.19
_cell_angle_gamma 90.00
_symmetry_space_group_name_H-M 'P 1'
_symmetry_Int_Tables_number 1
loop_
_symmetry_equiv_pos_as_xyz
'x,y,z'
loop_
_atom_site_label
_atom_site_type_symbol
_atom_site_fract_x
_atom_site_fract_y
_atom_site_fract_z
Sr1 Sr 0.019 0.019 0.038
Sm1 Sm 0.302 0.302 0.603
Cd1 Cd 0.679 0.679 0.359

# 3
# SrSmCd3 PBE-GGA optimized geometry
# Crystal system: orthorhombic
# ΔH_f (0 K) (meV per atom): -299
data_SrSmCd3
_chemical_formula_sum 'Sr2 Sm2 Cd6'
_cell_length_a 3.793
_cell_length_b 5.039
_cell_length_c 15.285
_cell_angle_alpha 90.00
_cell_angle_beta 97.13
_cell_angle_gamma 90.00
_symmetry_space_group_name_H-M 'P 1'
_symmetry_Int_Tables_number 1
loop_
_symmetry_equiv_pos_as_xyz
'x,y,z'
loop_
_atom_site_label
_atom_site_type_symbol
_atom_site_fract_x
_atom_site_fract_y
_atom_site_fract_z
Sr1 Sr 0.924 0.750 0.849
Sr2 Sr 0.076 0.250 0.151
Sm1 Sm 0.213 0.750 0.426
Sm2 Sm 0.787 0.250 0.574
Cd1 Cd 0.624 0.750 0.248
Cd2 Cd 0.376 0.250 0.752
Cd3 Cd 0.525 0.750 0.050
Cd4 Cd 0.475 0.250 0.950
Cd5 Cd 0.678 0.250 0.356
Cd6 Cd 0.322 0.750 0.644

# 4
# SrSm2Cd4 PBE-GGA optimized geometry
# Crystal system: tetragonal
# ΔH_f (0 K) (meV per atom): -134
data_SrSm2Cd4
_chemical_formula_sum 'Sr1 Sm2 Cd4'
_cell_length_a 5.223
_cell_length_b 5.223
_cell_length_c 9.106
_cell_angle_alpha 106.67
_cell_angle_beta 106.67
_cell_angle_gamma 90.00
_symmetry_space_group_name_H-M 'P 1'
_symmetry_Int_Tables_number 1
loop_
_symmetry_equiv_pos_as_xyz
'x,y,z'
loop_
_atom_site_label
_atom_site_type_symbol
_atom_site_fract_x
_atom_site_fract_y
_atom_site_fract_z
Sr1 Sr 0.000 0.000 0.000
Sm1 Sm 0.748 0.748 0.497
Sm2 Sm 0.252 0.252 0.503
Cd1 Cd 0.367 0.867 0.735
Cd2 Cd 0.867 0.367 0.735
Cd3 Cd 0.633 0.133 0.265
Cd4 Cd 0.133 0.633 0.265

# 5
# SrSm2Cd PBE-GGA optimized geometry
# Excess energy over the best structure of this formula in the dataset (eV/atom): 0.000
# Crystal system: tetragonal
# ΔH_f (0 K) (meV per atom): -43
data_SrSm2Cd
_chemical_formula_sum 'Sr1 Sm2 Cd1'
_cell_length_a 3.865
_cell_length_b 3.865
_cell_length_c 9.479
_cell_angle_alpha 90.00
_cell_angle_beta 90.00
_cell_angle_gamma 90.00
_symmetry_space_group_name_H-M 'P 1'
_symmetry_Int_Tables_number 1
loop_
_symmetry_equiv_pos_as_xyz
'x,y,z'
loop_
_atom_site_label
_atom_site_type_symbol
_atom_site_fract_x
_atom_site_fract_y
_atom_site_fract_z
Sr1 Sr 0.500 0.500 0.500
Sm1 Sm 0.000 0.000 0.810
Sm2 Sm 0.000 0.000 0.190
Cd1 Cd 0.500 0.500 0.000

# 6
# Tb6SmCd2 PBE-GGA optimized geometry
# Excess energy over the best structure of this formula in the dataset (eV/atom): 0.000
# Crystal system: monoclinic
# ΔH_f (0 K) (meV per atom): -130
data_Tb6SmCd2
_chemical_formula_sum 'Tb6 Sm1 Cd2'
_cell_length_a 3.760
_cell_length_b 6.606
_cell_length_c 11.763
_cell_angle_alpha 75.25
_cell_angle_beta 80.80
_cell_angle_gamma 73.46
_symmetry_space_group_name_H-M 'P 1'
_symmetry_Int_Tables_number 1
loop_
_symmetry_equiv_pos_as_xyz
'x,y,z'
loop_
_atom_site_label
_atom_site_type_symbol
_atom_site_fract_x
_atom_site_fract_y
_atom_site_fract_z
Tb1 Tb 0.685 0.506 0.124
Tb2 Tb 0.315 0.494 0.876
Tb3 Tb 0.312 0.792 0.584
Tb4 Tb 0.985 0.690 0.341
Tb5 Tb 0.015 0.310 0.659
Tb6 Tb 0.688 0.208 0.416
Sm1 Sm 0.000 0.000 0.000
Cd1 Cd 0.352 0.084 0.212
Cd2 Cd 0.648 0.916 0.788

# 7
# Tb6Sm3Cd PBE-GGA optimized geometry
# Excess energy over the best structure of this formula in the dataset (eV/atom): 0.000
# Crystal system: monoclinic
# ΔH_f (0 K) (meV per atom): -18
data_Tb6Sm3Cd
_chemical_formula_sum 'Tb12 Sm6 Cd2'
_cell_length_a 5.086
_cell_length_b 10.938
_cell_length_c 11.322
_cell_angle_alpha 92.58
_cell_angle_beta 90.00
_cell_angle_gamma 90.00
_symmetry_space_group_name_H-M 'P 1'
_symmetry_Int_Tables_number 1
loop_
_symmetry_equiv_pos_as_xyz
'x,y,z'
loop_
_atom_site_label
_atom_site_type_symbol
_atom_site_fract_x
_atom_site_fract_y
_atom_site_fract_z
Tb1 Tb 0.250 0.449 0.101
Tb2 Tb 0.750 0.551 0.899
Tb3 Tb 0.250 0.154 0.183
Tb4 Tb 0.750 0.846 0.817
Tb5 Tb 0.250 0.656 0.704
Tb6 Tb 0.750 0.344 0.296
Tb7 Tb 0.250 0.228 0.489
Tb8 Tb 0.750 0.772 0.511
Tb9 Tb 0.250 0.870 0.321
Tb10 Tb 0.750 0.130 0.679
Tb11 Tb 0.250 0.044 0.892
Tb12 Tb 0.750 0.956 0.108
Sm1 Sm 0.250 0.553 0.403
Sm2 Sm 0.750 0.447 0.597
Sm3 Sm 0.250 0.344 0.789
Sm4 Sm 0.750 0.656 0.211
Sm5 Sm 0.250 0.754 0.012
Sm6 Sm 0.750 0.246 0.988
Cd1 Cd 0.250 0.943 0.613
Cd2 Cd 0.750 0.057 0.387

# 8
# TbSm5Cd PBE-GGA optimized geometry
# Crystal system: orthorhombic
# ΔH_f (0 K) (meV per atom): 774
data_TbSm5Cd
_chemical_formula_sum 'Tb1 Sm5 Cd1'
_cell_length_a 5.982
_cell_length_b 8.482
_cell_length_c 7.784
_cell_angle_alpha 123.02
_cell_angle_beta 112.60
_cell_angle_gamma 90.00
_symmetry_space_group_name_H-M 'P 1'
_symmetry_Int_Tables_number 1
loop_
_symmetry_equiv_pos_as_xyz
'x,y,z'
loop_
_atom_site_label
_atom_site_type_symbol
_atom_site_fract_x
_atom_site_fract_y
_atom_site_fract_z
Tb1 Tb 0.686 0.500 0.000
Sm1 Sm 0.184 0.250 0.500
Sm2 Sm 0.166 0.500 0.000
Sm3 Sm 0.684 0.750 0.500
Sm4 Sm 0.437 0.826 0.000
Sm5 Sm 0.437 0.174 0.000
Cd1 Cd 0.938 0.000 0.000

# 9
# TbSm12Cd6 PBE-GGA optimized geometry
# Crystal system: trigonal
# ΔH_f (0 K) (meV per atom): -96
data_TbSm12Cd6
_chemical_formula_sum 'Tb1 Sm12 Cd6'
_cell_length_a 8.267
_cell_length_b 8.267
_cell_length_c 8.267
_cell_angle_alpha 87.78
_cell_angle_beta 87.78
_cell_angle_gamma 87.78
_symmetry_space_group_name_H-M 'P 1'
_symmetry_Int_Tables_number 1
loop_
_symmetry_equiv_pos_as_xyz
'x,y,z'
loop_
_atom_site_label
_atom_site_type_symbol
_atom_site_fract_x
_atom_site_fract_y
_atom_site_fract_z
Tb1 Tb 0.000 0.000 0.000
Sm1 Sm 0.806 0.533 0.431
Sm2 Sm 0.431 0.806 0.533
Sm3 Sm 0.533 0.431 0.806
Sm4 Sm 0.194 0.467 0.569
Sm5 Sm 0.569 0.194 0.467
Sm6 Sm 0.467 0.569 0.194
Sm7 Sm 0.041 0.155 0.383
Sm8 Sm 0.845 0.617 0.959
Sm9 Sm 0.617 0.959 0.845
Sm10 Sm 0.959 0.845 0.617
Sm11 Sm 0.155 0.383 0.041
Sm12 Sm 0.383 0.041 0.155
Cd1 Cd 0.735 0.886 0.261
Cd2 Cd 0.739 0.265 0.114
Cd3 Cd 0.114 0.739 0.265
Cd4 Cd 0.265 0.114 0.739
Cd5 Cd 0.261 0.735 0.886
Cd6 Cd 0.886 0.261 0.735

# 10
# Tb6Sm3Cd PBE-GGA optimized geometry
# Excess energy over the best structure of this formula in the dataset (eV/atom): 0.069
# Crystal system: orthorhombic
# ΔH_f (0 K) (meV per atom): 51
data_Tb6Sm3Cd
_chemical_formula_sum 'Tb12 Sm6 Cd2'
_cell_length_a 6.141
_cell_length_b 10.975
_cell_length_c 10.975
_cell_angle_alpha 119.90
_cell_angle_beta 90.00
_cell_angle_gamma 90.00
_symmetry_space_group_name_H-M 'P 1'
_symmetry_Int_Tables_number 1
loop_
_symmetry_equiv_pos_as_xyz
'x,y,z'
loop_
_atom_site_label
_atom_site_type_symbol
_atom_site_fract_x
_atom_site_fract_y
_atom_site_fract_z
Tb1 Tb 0.030 0.714 0.610
Tb2 Tb 0.530 0.610 0.714
Tb3 Tb 0.334 0.509 0.941
Tb4 Tb 0.834 0.941 0.509
Tb5 Tb 0.449 0.944 0.056
Tb6 Tb 0.673 0.265 0.735
Tb7 Tb 0.173 0.735 0.265
Tb8 Tb 0.949 0.056 0.944
Tb9 Tb 0.334 0.059 0.491
Tb10 Tb 0.834 0.491 0.059
Tb11 Tb 0.030 0.390 0.286
Tb12 Tb 0.530 0.286 0.390
Sm1 Sm 0.472 0.940 0.732
Sm2 Sm 0.972 0.732 0.940
Sm3 Sm 0.048 0.393 0.607
Sm4 Sm 0.548 0.607 0.393
Sm5 Sm 0.972 0.060 0.268
Sm6 Sm 0.472 0.268 0.060
Cd1 Cd 0.142 0.209 0.791
Cd2 Cd 0.642 0.791 0.209

The records above yield Fermi-level density of states values of 3.0 3.3 9.0 5.1 6.1 9.2 29.4 10.2 24.5 27.1 states/eV/cell, respectively.